A plane-wave DFT calculation with PBE-GGA was carried out for a relaxed AcPaHgBi crystal.

Output
magnetic moment = 2.609 μB per cell
E_form = -0.095 eV/atom

Lattice parameters (Å, degrees): 5.5998 5.5998 5.5998 60.00 60.00 60.00
Positions (direct):
1 Ac 0.0000 0.0000 0.0000
2 Pa 0.5000 0.5000 0.5000
3 Hg 0.2500 0.2500 0.2500
4 Bi 0.7500 0.7500 0.7500



A plane-wave DFT calculation with PBE-GGA was carried out for a relaxed CsLiCe2Cl8 crystal.

Output
uncorrected formation energy = -199 kJ/mol of atoms
magnetic moment = 2.000 μB per cell

Lattice parameters (Å, degrees): 6.8818 8.8661 6.9508 90.00 98.04 90.00
Positions (direct):
1 Cs 0.0000 0.0000 0.0000
2 Li 0.0000 0.5000 0.0000
3 Ce 0.5000 0.2621 0.5000
4 Ce 0.5000 0.7379 0.5000
5 Cl 0.2318 0.3020 0.1795
6 Cl 0.2318 0.6980 0.1795
7 Cl 0.3003 0.5000 0.6527
8 Cl 0.3082 0.0000 0.6298
9 Cl 0.6918 0.0000 0.3702
10 Cl 0.6997 0.5000 0.3473
11 Cl 0.7682 0.3020 0.8205
12 Cl 0.7682 0.6980 0.8205



A plane-wave DFT calculation with PBE-GGA was carried out for a relaxed CeHo7Al4 crystal.

Output
magnetic moment = 0.818 μB per cell
E_form = -0.050 eV/atom

Lattice parameters (Å, degrees): 7.4532 7.4532 10.3118 121.62 121.62 42.70
Positions (direct):
1 Ce 0.0000 0.0000 0.0000
2 Ho 0.0671 0.0671 0.3933
3 Ho 0.2116 0.2116 0.8786
4 Ho 0.2917 0.2917 0.3473
5 Ho 0.5000 0.5000 0.0000
6 Ho 0.7083 0.7083 0.6527
7 Ho 0.7884 0.7884 0.1214
8 Ho 0.9329 0.9329 0.6067
9 Al 0.3249 0.3249 0.6676
10 Al 0.4450 0.4450 0.2377
11 Al 0.5550 0.5550 0.7623
12 Al 0.6751 0.6751 0.3324



A plane-wave DFT calculation with PBE-GGA was carried out for a relaxed Ce4PmSi2 crystal.

Output
uncorrected formation energy = -21 kJ/mol of atoms
magnetic moment = 4.264 μB per cell

Lattice parameters (Å, degrees): 8.8633 8.8633 8.8633 34.30 34.30 34.30
Positions (direct):
1 Ce 0.0561 0.0561 0.0561
2 Ce 0.2734 0.2734 0.2734
3 Ce 0.7266 0.7266 0.7266
4 Ce 0.9439 0.9439 0.9439
5 Pm 0.5000 0.5000 0.5000
6 Si 0.3868 0.3868 0.3868
7 Si 0.6132 0.6132 0.6132



A plane-wave DFT calculation with PBE-GGA was carried out for a relaxed Tb3CuSi6Rh2 crystal.

Output
uncorrected formation energy = -44 kJ/mol of atoms
magnetic moment = 0.000 μB per cell

Lattice parameters (Å, degrees): 5.2964 5.2964 8.9517 90.00 90.00 120.00
Positions (direct):
1 Tb 0.0000 0.0000 0.0000
2 Tb 0.3333 0.6667 0.5802
3 Tb 0.6667 0.3333 0.4198
4 Cu 0.0000 0.0000 0.5000
5 Si 0.1674 0.3347 0.2772
6 Si 0.1674 0.8326 0.2772
7 Si 0.3347 0.1674 0.7228
8 Si 0.6653 0.8326 0.2772
9 Si 0.8326 0.1674 0.7228
10 Si 0.8326 0.6653 0.7228
11 Rh 0.3333 0.6667 0.0707
12 Rh 0.6667 0.3333 0.9293



A plane-wave DFT calculation with PBE-GGA was carried out for a relaxed TmPdPb2 crystal.

Output
magnetic moment = 0.000 μB per cell
E_form = -0.352 eV/atom

Lattice parameters (Å, degrees): 4.6294 4.6294 4.4556 90.00 90.00 90.00
Positions (direct):
1 Tm 0.0000 0.0000 0.0000
2 Pd 0.5000 0.5000 0.0000
3 Pb 0.0000 0.5000 0.5000
4 Pb 0.5000 0.0000 0.5000



A plane-wave DFT calculation with PBE-GGA was carried out for a relaxed Sm3YTh2S6 crystal.

Output
uncorrected formation energy = -187 kJ/mol of atoms
magnetic moment = 0.000 μB per cell

Lattice parameters (Å, degrees): 6.9269 6.9269 6.9508 99.60 99.60 119.84
Positions (direct):
1 Sm 0.0000 0.0000 0.0000
2 Sm 0.3327 0.6673 0.0000
3 Sm 0.6673 0.3327 0.0000
4 Y 0.5000 0.5000 0.5000
5 Th 0.1668 0.8332 0.5000
6 Th 0.8332 0.1668 0.5000
7 S 0.0895 0.4168 0.2502
8 S 0.2563 0.2563 0.7505
9 S 0.4168 0.0895 0.2502
10 S 0.5832 0.9105 0.7498
11 S 0.7437 0.7437 0.2495
12 S 0.9105 0.5832 0.7498



A plane-wave DFT calculation with PBE-GGA was carried out for a relaxed SiAgH crystal.

Output
uncorrected energy = -3.6527 eV/atom
magnetic moment = 0.000 μB per cell

Lattice parameters (Å, degrees): 7.8612 7.8612 9.9702 122.95 122.95 35.25
Positions (direct):
1 Si 0.0262 0.9738 0.5000
2 Si 0.2577 0.3670 0.1455
3 Si 0.3670 0.2577 0.6455
4 Si 0.7372 0.8798 0.8004
5 Si 0.8798 0.7372 0.3004
6 Si 0.9738 0.0262 0.0000
7 Ag 0.1811 0.3231 0.8425
8 Ag 0.3231 0.1811 0.3425
9 Ag 0.5565 0.6398 0.6454
10 Ag 0.6398 0.5565 0.1454
11 Ag 0.6913 0.8239 0.0134
12 Ag 0.8239 0.6913 0.5134
13 H 0.1609 0.9154 0.9070
14 H 0.2220 0.7867 0.1079
15 H 0.3981 0.4722 0.2423
16 H 0.4722 0.3981 0.7423
17 H 0.7867 0.2220 0.6079
18 H 0.9154 0.1609 0.4070